First-principles (GGA-PBE) data for crystalline AcTbErIn at its relaxed geometry, as listed in the Alexandria database.

abc: 5.5962 5.5962 5.5962
angles: 60.00 60.00 60.00
Sites, in units of the cell vectors:
Ac1 0.2500 0.2500 0.2500
In1 0.7500 0.7500 0.7500
Tb1 0.0000 0.0000 0.0000
Er1 0.5000 0.5000 0.5000

Computed properties:
As for the total magnetization: 0.7 μB/f.u. As for the symmetry: F-43m, No. 216. Its energy relative to the elements is -24.1 meV per atom.

---

First-principles (GGA-PBE) data for crystalline SrInRu2 at its relaxed geometry, as listed in the Alexandria database.

abc: 3.5293 4.7074 4.7074
angles: 90.00 90.00 90.00
Sites, in units of the cell vectors:
In1 0.5000 0.0000 0.5000
Ru1 0.0000 0.0000 0.0000
Ru2 0.0000 0.5000 0.5000
Sr1 0.5000 0.5000 0.0000

Computed properties:
As for the total magnetization: 1.2 μB/f.u. As for the symmetry: P4/mmm, No. 123. Its energy relative to the elements is 529.7 meV per atom.

---

Question: What is the energy relative to the elements in the second record?
Answer: 529.7 meV per atom

---

Question: Which formula does entry 1 have?
Answer: AcTbErIn